(1)
# NaH3I, relaxed, DFT GGA-PBE
# Mass density: 3.38 g/cm³
# Energy above the lowest structure with this stoichiometry: 223 meV/atom
# Spin magnetization: 0.0000 μB/atom
data_NaH3I
_space_group_name_H-M_alt 'P 1'
_space_group_IT_number 1
_cell_length_a 4.218
_cell_length_b 4.218
_cell_length_c 4.218
_cell_angle_alpha 90.00
_cell_angle_beta 90.00
_cell_angle_gamma 90.00
loop_
_space_group_symop_operation_xyz
'x,y,z'
loop_
_atom_site_label
_atom_site_type_symbol
_atom_site_fract_x
_atom_site_fract_y
_atom_site_fract_z
H1 H 0.000 0.500 0.000
H2 H 0.500 0.000 0.000
H3 H 0.000 0.000 0.500
I1 I 0.500 0.500 0.500
Na1 Na 0.000 0.000 0.000

---

(2)
# LaYSbTe, relaxed, DFT GGA-PBE
# Mass density: 6.17 g/cm³
# Raw formation energy: -1.381 eV per atom
# Spin magnetization: 0.0000 μB/atom
data_LaYSbTe
_space_group_name_H-M_alt 'P 1'
_space_group_IT_number 1
_cell_length_a 4.492
_cell_length_b 4.492
_cell_length_c 7.790
_cell_angle_alpha 73.24
_cell_angle_beta 73.24
_cell_angle_gamma 60.00
loop_
_space_group_symop_operation_xyz
'x,y,z'
loop_
_atom_site_label
_atom_site_type_symbol
_atom_site_fract_x
_atom_site_fract_y
_atom_site_fract_z
Y1 Y 0.947 0.947 0.158
Te1 Te 0.199 0.199 0.403
Sb1 Sb 0.689 0.689 0.932
La1 La 0.441 0.441 0.677

---

(3)
# CeInPdRh, relaxed, DFT GGA-PBE
# Mass density: 9.68 g/cm³
# ΔE_f: -643.2 meV per atom
# Spin magnetization: 0.1110 μB/atom
data_CeInPdRh
_space_group_name_H-M_alt 'P 1'
_space_group_IT_number 1
_cell_length_a 4.830
_cell_length_b 4.830
_cell_length_c 4.830
_cell_angle_alpha 60.00
_cell_angle_beta 60.00
_cell_angle_gamma 60.00
loop_
_space_group_symop_operation_xyz
'x,y,z'
loop_
_atom_site_label
_atom_site_type_symbol
_atom_site_fract_x
_atom_site_fract_y
_atom_site_fract_z
In1 In 0.250 0.250 0.250
Pd1 Pd 0.000 0.000 0.000
Ce1 Ce 0.750 0.750 0.750
Rh1 Rh 0.500 0.500 0.500

---

(4)
# CuTc2Mo, relaxed, DFT GGA-PBE
# Mass density: 10.28 g/cm³
# Energy above the lowest structure with this stoichiometry: 10 meV/atom
# ΔE_f: 157.8 meV per atom
# Spin magnetization: 0.0000 μB/atom
data_CuTc2Mo
_space_group_name_H-M_alt 'P 1'
_space_group_IT_number 1
_cell_length_a 3.945
_cell_length_b 2.728
_cell_length_c 5.999
_cell_angle_alpha 62.79
_cell_angle_beta 90.00
_cell_angle_gamma 90.00
loop_
_space_group_symop_operation_xyz
'x,y,z'
loop_
_atom_site_label
_atom_site_type_symbol
_atom_site_fract_x
_atom_site_fract_y
_atom_site_fract_z
Cu1 Cu 0.000 0.501 0.500
Mo1 Mo 0.500 0.757 0.748
Tc1 Tc 0.000 0.988 0.009
Tc2 Tc 0.500 0.253 0.243

---

(5)
# Cs3TlCd2Cl9, relaxed, DFT GGA-PBE
# Mass density: 3.99 g/cm³
# Raw formation energy: -1.406 eV per atom
# Spin magnetization: 0.0000 μB/atom
data_Cs3TlCd2Cl9
_space_group_name_H-M_alt 'P 1'
_space_group_IT_number 1
_cell_length_a 7.657
_cell_length_b 7.657
_cell_length_c 9.390
_cell_angle_alpha 90.00
_cell_angle_beta 90.00
_cell_angle_gamma 120.00
loop_
_space_group_symop_operation_xyz
'x,y,z'
loop_
_atom_site_label
_atom_site_type_symbol
_atom_site_fract_x
_atom_site_fract_y
_atom_site_fract_z
Cd1 Cd 0.667 0.333 0.841
Cd2 Cd 0.333 0.667 0.159
Cs1 Cs 0.000 0.000 0.000
Cs2 Cs 0.667 0.333 0.332
Cs3 Cs 0.333 0.667 0.668
Cl1 Cl 0.655 0.827 0.327
Cl2 Cl 0.500 0.500 0.000
Cl3 Cl 0.500 0.000 0.000
Cl4 Cl 0.827 0.173 0.673
Cl5 Cl 0.173 0.345 0.327
Cl6 Cl 0.000 0.500 0.000
Cl7 Cl 0.345 0.173 0.673
Cl8 Cl 0.173 0.827 0.327
Cl9 Cl 0.827 0.655 0.673
Tl1 Tl 0.000 0.000 0.500

---

(6)
# NdSm2DyY6, relaxed, DFT GGA-PBE
# Mass density: 5.75 g/cm³
# ΔE_f: 82.8 meV per atom
# Spin magnetization: 0.0000 μB/atom
data_NdSm2DyY6
_space_group_name_H-M_alt 'P 1'
_space_group_IT_number 1
_cell_length_a 6.489
_cell_length_b 12.344
_cell_length_c 12.344
_cell_angle_alpha 137.18
_cell_angle_beta 94.06
_cell_angle_gamma 94.06
loop_
_space_group_symop_operation_xyz
'x,y,z'
loop_
_atom_site_label
_atom_site_type_symbol
_atom_site_fract_x
_atom_site_fract_y
_atom_site_fract_z
Nd1 Nd 0.750 0.692 0.308
Nd2 Nd 0.250 0.308 0.692
Y1 Y 0.480 0.763 0.104
Y2 Y 0.297 0.893 0.488
Y3 Y 0.447 0.447 0.319
Y4 Y 0.203 0.512 0.107
Y5 Y 0.947 0.319 0.447
Y6 Y 0.553 0.553 0.681
Y7 Y 0.020 0.896 0.237
Y8 Y 0.703 0.107 0.512
Y9 Y 0.797 0.488 0.893
Y10 Y 0.980 0.104 0.763
Y11 Y 0.053 0.681 0.553
Y12 Y 0.520 0.237 0.896
Dy1 Dy 0.750 0.963 0.037
Dy2 Dy 0.250 0.037 0.963
Sm1 Sm 0.885 0.304 0.149
Sm2 Sm 0.615 0.851 0.696
Sm3 Sm 0.115 0.696 0.851
Sm4 Sm 0.385 0.149 0.304

---

(7)
# La2TlAg, relaxed, DFT GGA-PBE
# Mass density: 8.37 g/cm³
# Energy above the lowest structure with this stoichiometry: 65 meV/atom
# ΔE_f: -277.4 meV per atom
# Spin magnetization: 0.0002 μB/atom
data_La2TlAg
_space_group_name_H-M_alt 'P 1'
_space_group_IT_number 1
_cell_length_a 6.568
_cell_length_b 6.568
_cell_length_c 5.315
_cell_angle_alpha 66.11
_cell_angle_beta 66.11
_cell_angle_gamma 34.31
loop_
_space_group_symop_operation_xyz
'x,y,z'
loop_
_atom_site_label
_atom_site_type_symbol
_atom_site_fract_x
_atom_site_fract_y
_atom_site_fract_z
La1 La 0.751 0.751 0.749
La2 La 0.977 0.977 0.023
Tl1 Tl 0.535 0.535 0.465
Ag1 Ag 0.237 0.237 0.264

---

(8)
# TiCu2HgH, relaxed, DFT GGA-PBE
# Mass density: 9.65 g/cm³
# Raw total energy: -19.49 eV/cell
# Spin magnetization: 0.1242 μB/atom
data_TiCu2HgH
_space_group_name_H-M_alt 'P 1'
_space_group_IT_number 1
_cell_length_a 4.123
_cell_length_b 4.123
_cell_length_c 3.811
_cell_angle_alpha 90.00
_cell_angle_beta 90.00
_cell_angle_gamma 90.00
loop_
_space_group_symop_operation_xyz
'x,y,z'
loop_
_atom_site_label
_atom_site_type_symbol
_atom_site_fract_x
_atom_site_fract_y
_atom_site_fract_z
Cu1 Cu 0.000 0.500 0.000
Cu2 Cu 0.500 0.000 0.000
Hg1 Hg 0.500 0.500 0.500
Ti1 Ti 0.000 0.000 0.500
H1 H 0.000 0.000 0.000

---

(9)
# Pm2AgAs, relaxed, DFT GGA-PBE
# Mass density: 7.94 g/cm³
# Energy above the lowest structure with this stoichiometry: 129 meV/atom
# ΔE_f: -649.3 meV per atom
# Spin magnetization: 0.0001 μB/atom
data_Pm2AgAs
_space_group_name_H-M_alt 'P 1'
_space_group_IT_number 1
_cell_length_a 5.191
_cell_length_b 5.191
_cell_length_c 5.191
_cell_angle_alpha 60.00
_cell_angle_beta 60.00
_cell_angle_gamma 60.00
loop_
_space_group_symop_operation_xyz
'x,y,z'
loop_
_atom_site_label
_atom_site_type_symbol
_atom_site_fract_x
_atom_site_fract_y
_atom_site_fract_z
Pm1 Pm 0.250 0.250 0.250
Pm2 Pm 0.750 0.750 0.750
As1 As 0.000 0.000 0.000
Ag1 Ag 0.500 0.500 0.500

---

(10)
# LiCe4Pm3Se8, relaxed, DFT GGA-PBE
# Mass density: 6.54 g/cm³
# Raw formation energy: -1.781 eV per atom
# Spin magnetization: 0.2925 μB/atom
data_LiCe4Pm3Se8
_space_group_name_H-M_alt 'P 1'
_space_group_IT_number 1
_cell_length_a 8.353
_cell_length_b 8.395
_cell_length_c 8.353
_cell_angle_alpha 119.83
_cell_angle_beta 120.00
_cell_angle_gamma 90.00
loop_
_space_group_symop_operation_xyz
'x,y,z'
loop_
_atom_site_label
_atom_site_type_symbol
_atom_site_fract_x
_atom_site_fract_y
_atom_site_fract_z
Se1 Se 0.243 0.742 0.486
Se2 Se 0.750 0.749 0.499
Se3 Se 0.756 0.742 0.999
Se4 Se 0.757 0.258 0.514
Se5 Se 0.244 0.258 0.001
Se6 Se 0.250 0.251 0.501
Se7 Se 0.757 0.258 0.001
Se8 Se 0.243 0.742 0.999
Pm1 Pm 0.500 0.500 0.500
Pm2 Pm 0.500 0.500 0.000
Pm3 Pm 0.000 0.500 0.500
Ce1 Ce 0.000 0.000 0.500
Ce2 Ce 0.000 0.000 0.000
Ce3 Ce 0.500 0.000 0.500
Ce4 Ce 0.500 0.000 0.000
Li1 Li 0.000 0.500 0.000

---

(11)
# Sr2InAg4Ge3, relaxed, DFT GGA-PBE
# Mass density: 6.74 g/cm³
# ΔE_f: -277.7 meV per atom
# Spin magnetization: 0.0000 μB/atom
data_Sr2InAg4Ge3
_space_group_name_H-M_alt 'P 1'
_space_group_IT_number 1
_cell_length_a 4.478
_cell_length_b 4.478
_cell_length_c 11.540
_cell_angle_alpha 90.00
_cell_angle_beta 90.00
_cell_angle_gamma 90.00
loop_
_space_group_symop_operation_xyz
'x,y,z'
loop_
_atom_site_label
_atom_site_type_symbol
_atom_site_fract_x
_atom_site_fract_y
_atom_site_fract_z
Ag1 Ag 0.000 0.000 0.000
Ag2 Ag 0.500 0.000 0.646
Ag3 Ag 0.000 0.500 0.354
Ag4 Ag 0.500 0.500 0.000
In1 In 0.500 0.500 0.500
Ge1 Ge 0.500 0.000 0.871
Ge2 Ge 0.000 0.500 0.129
Ge3 Ge 0.000 0.000 0.500
Sr1 Sr 0.500 0.000 0.237
Sr2 Sr 0.000 0.500 0.763

---

(12)
# Li5Zn4Cu, relaxed, DFT GGA-PBE
# Mass density: 3.90 g/cm³
# ΔE_f: 26.8 meV per atom
# Spin magnetization: 0.0000 μB/atom
data_Li5Zn4Cu
_space_group_name_H-M_alt 'P 1'
_space_group_IT_number 1
_cell_length_a 4.558
_cell_length_b 6.227
_cell_length_c 6.227
_cell_angle_alpha 82.30
_cell_angle_beta 68.53
_cell_angle_gamma 68.53
loop_
_space_group_symop_operation_xyz
'x,y,z'
loop_
_atom_site_label
_atom_site_type_symbol
_atom_site_fract_x
_atom_site_fract_y
_atom_site_fract_z
Li1 Li 0.781 0.370 0.999
Li2 Li 0.779 0.001 0.370
Li3 Li 0.151 0.999 0.630
Li4 Li 0.680 0.000 0.000
Li5 Li 0.150 0.630 0.001
Zn1 Zn 0.106 0.332 0.333
Zn2 Zn 0.771 0.668 0.667
Zn3 Zn 0.439 0.667 0.332
Zn4 Zn 0.438 0.333 0.668
Cu1 Cu 0.216 0.000 0.000